Crystalline TcNiI2O at its relaxed geometry. Source: the Alexandria database, functional PBE with a Hubbard U.

Values from the calculation:
- M_tot (μB/cell) = 0.1
- E above lowest polymorph (meV per atom) = 0

Lattice parameters (Å, degrees): 5.5054 5.5054 3.7178 90.00 90.00 90.00
Last column: magnetic moment on the atom in μB.
Element x y z (fractional)
I 0.0000 0.5000 0.0000  -0.01
I 0.5000 0.0000 0.0000  -0.01
Ni 0.5000 0.5000 0.5000  -0.06
Tc 0.0000 0.0000 0.0000  0.00
O 0.0000 0.0000 0.5000  0.00